Below is a geometry-optimized Cs2Cu2AsSe4 structure, with properties calculated at the GGA-PBE level.

The calculation puts the total energy at -0.265 Ry per atom. As for the space group: No. 2.

Cell: 4.951 7.101 9.110 Å, 74.61 74.33 72.52°
Sites, in units of the cell vectors:
Cs: 0.059 0.218 0.125
Cs: 0.941 0.782 0.875
Cu: 0.045 0.325 0.594
Cu: 0.955 0.675 0.406
As: 0.500 0.500 0.500
Se: 0.350 0.634 0.207
Se: 0.430 0.168 0.421
Se: 0.570 0.832 0.579
Se: 0.650 0.366 0.793

=====

Below is a geometry-optimized CaCrIn2 structure, with properties calculated at the GGA-PBE level.

The calculation puts the total energy at -0.305 Ry per atom. The calculation puts the formation energy at 0.12 eV per atom. As for the space group: No. 65.

Cell: 5.545 5.545 3.306 Å, 90.00 90.00 110.57°
Sites, in units of the cell vectors:
Ca: 0.000 0.000 0.000
Cr: 0.500 0.500 0.000
In: 0.000 0.500 0.500
In: 0.500 0.000 0.500

=====

Below is a geometry-optimized Pm3GePt3 structure, with properties calculated at the GGA-PBE level.

The calculation puts the total energy at -0.468 Ry per atom. The calculation puts the formation energy at -1.08 eV per atom. As for the space group: No. 12. For the energy above the most stable polymorph in this dataset, the calculation gives 0.000 eV per atom.

Cell: 5.813 5.813 14.929 Å, 108.64 108.64 42.46°
Sites, in units of the cell vectors:
Pm: 0.026 0.026 0.386
Pm: 0.105 0.105 0.924
Pm: 0.244 0.244 0.228
Pm: 0.756 0.756 0.772
Pm: 0.895 0.895 0.076
Pm: 0.974 0.974 0.614
Ge: 0.266 0.266 0.605
Ge: 0.734 0.734 0.395
Pt: 0.361 0.361 0.453
Pt: 0.377 0.377 0.923
Pt: 0.474 0.474 0.767
Pt: 0.526 0.526 0.233
Pt: 0.623 0.623 0.077
Pt: 0.639 0.639 0.547

=====

Below is a geometry-optimized RbP2S structure, with properties calculated at the GGA-PBE level.

The calculation puts the total energy at -0.274 Ry per atom. As for the space group: No. 122.

Cell: 6.554 6.554 6.554 Å, 109.87 109.87 108.68°
Sites, in units of the cell vectors:
Rb: 0.000 0.000 0.000
Rb: 0.750 0.250 0.500
P: 0.261 0.625 0.136
P: 0.375 0.511 0.636
P: 0.489 0.125 0.864
P: 0.875 0.739 0.364
S: 0.250 0.750 0.500
S: 0.500 0.500 0.000

=====

Below is a geometry-optimized CsHoIn2 structure, with properties calculated at the GGA-PBE level.

The calculation puts the total energy at -0.215 Ry per atom. The calculation puts the formation energy at -0.19 eV per atom. As for the space group: No. 123.

Cell: 3.893 3.893 9.198 Å, 90.00 90.00 90.00°
Sites, in units of the cell vectors:
Cs: 0.000 0.000 0.000
Ho: 0.000 0.000 0.500
In: 0.500 0.500 0.317
In: 0.500 0.500 0.683

=====

Below is a geometry-optimized MnCu2Te structure, with properties calculated at the GGA-PBE level.

The calculation puts the total energy at -0.350 Ry per atom. As for the space group: No. 122.

Cell: 5.779 5.779 5.779 Å, 101.58 101.58 126.77°
Sites, in units of the cell vectors:
Mn: 0.000 0.000 0.000
Mn: 0.750 0.250 0.500
Cu: 0.123 0.625 0.998
Cu: 0.375 0.373 0.498
Cu: 0.627 0.125 0.002
Cu: 0.875 0.877 0.502
Te: 0.250 0.750 0.500
Te: 0.500 0.500 0.000

=====

Below is a geometry-optimized Pr4NdCd structure, with properties calculated at the GGA-PBE level.

The calculation puts the total energy at -0.311 Ry per atom. The calculation puts the formation energy at -0.10 eV per atom. As for the space group: No. 123. For the energy above the most stable polymorph in this dataset, the calculation gives 0.000 eV per atom.

Cell: 3.735 3.735 14.527 Å, 90.00 90.00 90.00°
Sites, in units of the cell vectors:
Pr: 0.000 0.000 0.144
Pr: 0.000 0.000 0.856
Pr: 0.500 0.500 0.322
Pr: 0.500 0.500 0.678
Nd: 0.000 0.000 0.500
Cd: 0.500 0.500 0.000

=====

Below is a geometry-optimized PaCd2RuO6 structure, with properties calculated at the GGA-PBE level.

The calculation puts the total energy at -0.486 Ry per atom. As for the space group: No. 99.

Cell: 5.935 5.935 4.170 Å, 90.00 90.00 90.00°
Sites, in units of the cell vectors:
Pa: 0.000 0.000 0.000
Cd: 0.000 0.500 0.365
Cd: 0.500 0.000 0.365
Ru: 0.500 0.500 0.021
O: 0.000 0.000 0.506
O: 0.260 0.260 0.040
O: 0.260 0.740 0.040
O: 0.500 0.500 0.516
O: 0.740 0.260 0.040
O: 0.740 0.740 0.040

=====

Below is a geometry-optimized SmY2TmTe6 structure, with properties calculated at the GGA-PBE level.

The calculation puts the total energy at -0.402 Ry per atom. As for the space group: No. 146.

Cell: 8.331 8.331 8.331 Å, 55.17 55.17 55.17°
Sites, in units of the cell vectors:
Sm: 0.000 0.000 0.000
Y: 0.186 0.186 0.186
Y: 0.688 0.688 0.688
Tm: 0.502 0.502 0.502
Te: 0.098 0.412 0.777
Te: 0.287 0.905 0.588
Te: 0.412 0.777 0.098
Te: 0.588 0.287 0.905
Te: 0.777 0.098 0.412
Te: 0.905 0.588 0.287

=====

Below is a geometry-optimized DyAlOs2C structure, with properties calculated at the GGA-PBE level.

The calculation puts the total energy at -0.613 Ry per atom. The calculation puts the formation energy at -0.34 eV per atom. As for the space group: No. 63.

Cell: 5.884 5.884 7.252 Å, 90.00 90.00 140.42°
Sites, in units of the cell vectors:
Dy: 0.049 0.951 0.750
Dy: 0.951 0.049 0.250
Al: 0.230 0.770 0.250
Al: 0.770 0.230 0.750
Os: 0.334 0.666 0.560
Os: 0.334 0.666 0.940
Os: 0.666 0.334 0.060
Os: 0.666 0.334 0.440
C: 0.500 0.500 0.000
C: 0.500 0.500 0.500

=====

Below is a geometry-optimized Pa3Ru2Rh2 structure, with properties calculated at the GGA-PBE level.

The calculation puts the total energy at -0.694 Ry per atom. The calculation puts the formation energy at -0.62 eV per atom. As for the space group: No. 199.

Cell: 7.132 7.132 7.132 Å, 109.47 109.47 109.47°
Sites, in units of the cell vectors:
Pa: 0.134 0.750 0.884
Pa: 0.250 0.616 0.366
Pa: 0.366 0.250 0.616
Pa: 0.616 0.366 0.250
Pa: 0.750 0.884 0.134
Pa: 0.884 0.134 0.750
Ru: 0.000 0.343 0.500
Ru: 0.157 0.157 0.157
Ru: 0.343 0.500 0.000
Ru: 0.500 0.000 0.343
Rh: 0.000 0.824 0.500
Rh: 0.500 0.000 0.824
Rh: 0.676 0.676 0.676
Rh: 0.824 0.500 0.000

=====

Below is a geometry-optimized LaSm3Er2As6 structure, with properties calculated at the GGA-PBE level.

The calculation puts the total energy at -0.455 Ry per atom. The calculation puts the formation energy at -1.52 eV per atom. As for the space group: No. 12.

Cell: 7.275 7.275 7.277 Å, 99.60 99.60 120.00°
Sites, in units of the cell vectors:
La: 0.000 0.000 0.000
Sm: 0.165 0.835 0.500
Sm: 0.500 0.500 0.500
Sm: 0.835 0.165 0.500
Er: 0.333 0.667 0.000
Er: 0.667 0.333 0.000
As: 0.083 0.424 0.248
As: 0.260 0.260 0.754
As: 0.424 0.083 0.248
As: 0.576 0.917 0.752
As: 0.740 0.740 0.246
As: 0.917 0.576 0.752